[1]
First-principles (PBE) data for a geometry-optimized TlGaFe structure, as listed in OQMD via LeMat-Bulk.

CIF file:
```
data_TlGaFe
_symmetry_space_group_name_H-M 'F -4 3 m'
_symmetry_Int_Tables_number 216
_symmetry_space_group_name_Hall 'F -4 2 3'
_cell_length_a 6.401
_cell_length_b 6.401
_cell_length_c 6.401
_cell_angle_alpha 90.00
_cell_angle_beta 90.00
_cell_angle_gamma 90.00
loop_
_atom_site_label
_atom_site_type_symbol
_atom_site_fract_x
_atom_site_fract_y
_atom_site_fract_z
Tl1 Tl 0.000 0.000 0.000
Ga1 Ga 0.250 0.250 0.250
Fe1 Fe 0.250 0.250 0.750
```

- Final energy: -3.78 eV/atom
- V: 21.855 Å³ per atom


[2]
First-principles (PBE) data for a geometry-optimized TlGa2Fe structure, as listed in OQMD via LeMat-Bulk.

CIF file:
```
data_TlGa2Fe
_symmetry_space_group_name_H-M 'F -4 3 m'
_symmetry_Int_Tables_number 216
_symmetry_space_group_name_Hall 'F -4 2 3'
_cell_length_a 6.740
_cell_length_b 6.740
_cell_length_c 6.740
_cell_angle_alpha 90.00
_cell_angle_beta 90.00
_cell_angle_gamma 90.00
loop_
_atom_site_label
_atom_site_type_symbol
_atom_site_fract_x
_atom_site_fract_y
_atom_site_fract_z
Tl1 Tl 0.000 0.000 0.000
Ga1 Ga 0.000 0.000 0.500
Ga2 Ga 0.250 0.250 0.750
Fe1 Fe 0.250 0.250 0.250
```

- Final energy: -3.70 eV/atom
- V: 19.134 Å³ per atom


[3]
First-principles (PBE) data for a geometry-optimized Tl2GaFe structure, as listed in OQMD via LeMat-Bulk.

CIF file:
```
data_Tl2GaFe
_symmetry_space_group_name_H-M 'F -4 3 m'
_symmetry_Int_Tables_number 216
_symmetry_space_group_name_Hall 'F -4 2 3'
_cell_length_a 7.135
_cell_length_b 7.135
_cell_length_c 7.135
_cell_angle_alpha 90.00
_cell_angle_beta 90.00
_cell_angle_gamma 90.00
loop_
_atom_site_label
_atom_site_type_symbol
_atom_site_fract_x
_atom_site_fract_y
_atom_site_fract_z
Tl1 Tl 0.000 0.000 0.000
Tl2 Tl 0.250 0.250 0.250
Ga1 Ga 0.000 0.000 0.500
Fe1 Fe 0.250 0.250 0.750
```

- Final energy: -3.42 eV/atom
- V: 22.700 Å³ per atom